(1)
Mg2CdPb | SCAN | single point on PBEsol structure

Cell: 3.339 5.311 5.610 Å, 99.66 107.32 90.00°
Positions (direct):
1 Pb 0.500 0.519 0.999
2 Mg 0.003 0.023 0.006
3 Mg 0.251 0.741 0.502
4 Cd 0.746 0.217 0.492

Results
space group: Cm, No. 8
final energy: -29.150 eV/atom


(2)
Mg2CdPb | SCAN | single point on PBEsol structure

Cell: 3.315 4.187 6.612 Å, 90.00 90.00 90.00°
Positions (direct):
1 Pb 0.500 0.500 0.000
2 Mg 0.000 0.000 0.736
3 Mg 0.000 0.000 0.264
4 Cd 0.500 0.500 0.500

Results
space group: Pmmm, No. 47
final energy: -29.188 eV/atom


(3)
Mg2CdPb | SCAN | single point on PBEsol structure

Cell: 3.656 3.656 7.102 Å, 90.00 90.00 90.00°
Positions (direct):
1 Pb 0.000 0.000 0.498
2 Mg 0.000 0.000 0.987
3 Mg 0.500 0.500 0.235
4 Cd 0.500 0.500 0.781

Results
space group: P4mm, No. 99
final energy: -29.083 eV/atom


(4)
MgCd2Pb | SCAN | single point on PBEsol structure

Cell: 3.376 3.376 9.846 Å, 80.13 80.13 60.00°
Positions (direct):
1 Pb 0.250 0.250 0.251
2 Mg 0.495 0.495 0.515
3 Cd 0.005 0.005 0.984
4 Cd 0.750 0.750 0.749

Results
space group: R3m, No. 160
final energy: -35.420 eV/atom


(5)
MgCd2Pb | SCAN | single point on PBEsol structure

Cell: 3.329 5.549 5.549 Å, 112.84 90.00 90.00°
Positions (direct):
1 Pb 0.500 0.500 0.500
2 Mg 0.500 0.000 0.000
3 Cd 0.000 0.500 0.000
4 Cd 0.000 0.000 0.500

Results
space group: Cmmm, No. 65
final energy: -35.422 eV/atom


(6)
MgCd2Pb | SCAN | single point on PBEsol structure

Cell: 3.278 4.332 6.575 Å, 90.00 90.00 90.00°
Positions (direct):
1 Pb 0.500 0.500 0.743
2 Mg 0.000 0.000 0.485
3 Cd 0.000 0.000 0.025
4 Cd 0.500 0.500 0.247

Results
space group: Pmm2, No. 25
final energy: -35.437 eV/atom